[1]
! PBE BaSrPd2, relaxed; values from VASP
&SYSTEM
  ibrav = 0, nat = 16, ntyp = 3
/
ATOMIC_SPECIES
Ba 137.33 Ba.upf
Sr 87.62 Sr.upf
Pd 106.42 Pd.upf
CELL_PARAMETERS angstrom
8.205 0.000 0.000
0.000 8.205 0.000
0.000 0.000 7.175
ATOMIC_POSITIONS crystal
Ba 0.000 0.000 0.000
Ba 0.000 0.500 0.250
Ba 0.500 0.000 0.750
Ba 0.500 0.500 0.500
Sr 0.000 0.000 0.500
Sr 0.000 0.500 0.750
Sr 0.500 0.000 0.250
Sr 0.500 0.500 0.000
Pd 0.243 0.750 0.625
Pd 0.250 0.243 0.375
Pd 0.250 0.257 0.875
Pd 0.257 0.750 0.125
Pd 0.743 0.250 0.125
Pd 0.750 0.743 0.875
Pd 0.750 0.757 0.375
Pd 0.757 0.250 0.625
! Symmetry: I-42d (122)
! Energy above the lowest structure with this stoichiometry in meV per atom: 305

[2]
! PBE BaSrPd, relaxed; values from VASP
&SYSTEM
  ibrav = 0, nat = 12, ntyp = 3
/
ATOMIC_SPECIES
Ba 137.33 Ba.upf
Sr 87.62 Sr.upf
Pd 106.42 Pd.upf
CELL_PARAMETERS angstrom
14.471 0.000 0.000
0.000 6.390 0.000
-2.623 0.000 5.579
ATOMIC_POSITIONS crystal
Ba 0.136 0.000 0.386
Ba 0.364 0.500 0.614
Ba 0.636 0.500 0.386
Ba 0.864 0.000 0.614
Sr 0.113 0.500 0.862
Sr 0.387 0.000 0.138
Sr 0.613 0.000 0.862
Sr 0.887 0.500 0.138
Pd 0.121 0.500 0.370
Pd 0.379 0.000 0.630
Pd 0.621 0.000 0.370
Pd 0.879 0.500 0.630
! Symmetry: C2/m (12)
! Energy above the lowest structure with this stoichiometry in meV per atom: 5

[3]
! PBE Ba3SrPd, relaxed; values from VASP
&SYSTEM
  ibrav = 0, nat = 10, ntyp = 3
/
ATOMIC_SPECIES
Ba 137.33 Ba.upf
Sr 87.62 Sr.upf
Pd 106.42 Pd.upf
CELL_PARAMETERS angstrom
9.024 0.000 0.000
0.000 7.794 0.000
0.000 0.000 7.438
ATOMIC_POSITIONS crystal
Ba 0.000 0.171 0.000
Ba 0.249 0.332 0.491
Ba 0.251 0.668 0.991
Ba 0.500 0.829 0.500
Ba 0.749 0.668 0.991
Ba 0.751 0.332 0.491
Sr 0.000 0.818 0.485
Sr 0.500 0.182 0.985
Pd 0.000 0.503 0.242
Pd 0.500 0.497 0.742
! Symmetry: Pmn2_1 (31)
! Energy above the lowest structure with this stoichiometry in meV per atom: 0

[4]
! PBE Ba6Sr2Pd, relaxed; values from VASP
&SYSTEM
  ibrav = 0, nat = 9, ntyp = 3
/
ATOMIC_SPECIES
Ba 137.33 Ba.upf
Sr 87.62 Sr.upf
Pd 106.42 Pd.upf
CELL_PARAMETERS angstrom
0.000 6.379 6.379
6.379 0.000 6.379
6.379 6.379 0.000
ATOMIC_POSITIONS crystal
Ba 0.247 0.247 0.753
Ba 0.247 0.753 0.247
Ba 0.247 0.753 0.753
Ba 0.753 0.247 0.247
Ba 0.753 0.247 0.753
Ba 0.753 0.753 0.247
Sr 0.250 0.250 0.250
Sr 0.750 0.750 0.750
Pd 0.000 0.000 0.000
! Symmetry: Fm-3m (225)

[5]
! PBE Ba5Sr3Pd2, relaxed; values from VASP
&SYSTEM
  ibrav = 0, nat = 20, ntyp = 3
/
ATOMIC_SPECIES
Ba 137.33 Ba.upf
Sr 87.62 Sr.upf
Pd 106.42 Pd.upf
CELL_PARAMETERS angstrom
-6.306 8.955 4.509
6.306 -8.955 4.509
6.306 8.955 -4.509
ATOMIC_POSITIONS crystal
Ba 0.005 0.750 0.255
Ba 0.123 0.744 0.867
Ba 0.250 0.250 0.000
Ba 0.377 0.244 0.621
Ba 0.495 0.750 0.745
Ba 0.505 0.250 0.255
Ba 0.623 0.756 0.379
Ba 0.750 0.750 0.000
Ba 0.877 0.256 0.133
Ba 0.995 0.250 0.745
Sr 0.122 0.257 0.379
Sr 0.250 0.750 0.500
Sr 0.378 0.757 0.134
Sr 0.622 0.243 0.866
Sr 0.750 0.250 0.500
Sr 0.878 0.743 0.621
Pd 0.123 0.497 0.619
Pd 0.377 0.997 0.374
Pd 0.623 0.003 0.626
Pd 0.877 0.503 0.381
! Symmetry: Ibam (72)

[6]
! PBE BaSrPd2, relaxed; values from VASP
&SYSTEM
  ibrav = 0, nat = 8, ntyp = 3
/
ATOMIC_SPECIES
Ba 137.33 Ba.upf
Sr 87.62 Sr.upf
Pd 106.42 Pd.upf
CELL_PARAMETERS angstrom
4.627 0.000 0.000
0.000 4.376 0.000
0.000 0.000 11.719
ATOMIC_POSITIONS crystal
Ba 0.000 0.000 0.000
Ba 0.000 0.500 0.500
Sr 0.500 0.000 0.277
Sr 0.500 0.500 0.777
Pd 0.000 0.000 0.715
Pd 0.000 0.500 0.215
Pd 0.500 0.000 0.575
Pd 0.500 0.500 0.075
! Symmetry: Amm2 (38)
! Energy above the lowest structure with this stoichiometry in meV per atom: 0

no.,VASP energy (eV per formula unit),formation enthalpy at 0 K (eV per atom)
1,-15.03,-0.26
2,-10.05,-0.42
3,-14.01,-0.27
4,-21.43,-0.15
5,-27.68,-0.26
6,-16.25,-0.56